Li2MnBr: relaxed, PBE-GGA.

* energy relative to the elements, uncorrected: -0.07 eV per atom
* Fermi-level density of states: 0.59 states/eV per atom

Unit cell a=8.7406 b=8.7406 c=8.7406 alpha=22.70 beta=22.70 gamma=22.70
Element x y z (fractional)
Li 0.0154 0.0154 0.0154
Li 0.2442 0.2442 0.2442
Br 0.7435 0.7435 0.7435
Mn 0.4969 0.4969 0.4969


Li2MnBr: relaxed, PBE-GGA.

* energy relative to the elements, uncorrected: 0.14 eV per atom
* Fermi-level density of states: 0.59 states/eV per atom

Unit cell a=5.5882 b=5.5882 c=5.5882 alpha=137.48 beta=137.48 gamma=61.70
Element x y z (fractional)
Li 0.0000 0.0000 0.0000
Li 0.5000 0.5000 0.0000
Mn 0.2500 0.7500 0.5000
Br 0.7500 0.2500 0.5000


LiMnBr3: relaxed, PBE-GGA.

* energy relative to the elements, uncorrected: -1.05 eV per atom
* Fermi-level density of states: 0.00 states/eV per atom

Unit cell a=7.0162 b=9.0794 c=9.0794 alpha=85.20 beta=80.95 gamma=80.95
Element x y z (fractional)
Br 0.1116 0.4516 0.2875
Br 0.3767 0.0282 0.1981
Br 0.6233 0.9718 0.8019
Mn 0.7054 0.7870 0.6035
Li 0.7500 0.8961 0.1039
Mn 0.2054 0.6035 0.7870
Mn 0.7946 0.3965 0.2130
Mn 0.2946 0.2130 0.3965
Br 0.6116 0.2875 0.4516
Li 0.7500 0.2440 0.7560
Br 0.3884 0.7125 0.5484
Li 0.2500 0.7560 0.2440
Br 0.1233 0.8019 0.9718
Br 0.3909 0.3657 0.8729
Br 0.1091 0.1271 0.6343
Br 0.8767 0.1981 0.0282
Br 0.8884 0.5484 0.7125
Br 0.8909 0.8729 0.3657
Li 0.2500 0.1039 0.8961
Br 0.6091 0.6343 0.1271


LiMnBr: relaxed, PBE-GGA.

* energy relative to the elements, uncorrected: -0.10 eV per atom
* Fermi-level density of states: 0.57 states/eV per atom

Unit cell a=3.4769 b=3.4769 c=6.0358 alpha=90.00 beta=90.00 gamma=120.00
Element x y z (fractional)
Mn 0.3333 0.6667 0.6783
Li 0.6667 0.3333 0.3030
Br 0.0000 0.0000 0.0187


Question: Look up the energy relative to the elements, uncorrected of the third one.
Answer: -1.05 eV per atom


Question: energy relative to the elements, uncorrected of number 3 (LiMnBr3)?
Answer: -1.05 eV per atom


Question: What is the energy relative to the elements, uncorrected in the first record?
Answer: -0.07 eV per atom


Question: Which value of Fermi-level density of states does entry 1 give?
Answer: 0.59 states/eV per atom